VASP calculation (PBE-GGA) on an optimized crystal structure of YCoSn2.

a b c (Å): 4.3361 4.3361 16.0669
angles (deg): 90.00 90.00 120.00
Last column: nearest neighbours and their distance in Å.
Space group R-3m (No. 166, hexagonal axes)
One atom of each set of equivalent atoms:
Y  0.0000  0.0000  0.0000 x3  6 Sn 3.08
Co  0.0000  0.0000  0.5000 x3  6 Sn 2.65
Sn  0.0000  0.0000  0.2213 x6  3 Co 2.65

Summary:
**E_form**: -1.40 eV/f.u.
**VASP energy**: -5.7435 eV per atom
**Spin magnetization**: 0.29 Bohr magnetons per cell